This record from Alexandria via LeMat-Bulk describes a relaxed structure of RbHgF3. The functional is PBE.

Lattice parameters (Å, degrees): 6.047 7.731 3.921 90.01 89.89 89.98
Atoms (fractional coordinates):
Hg (0.575, 0.457, 0.965)
Hg (0.074, 0.651, 0.465)
Rb (0.574, 0.919, 0.465)
Rb (0.075, 0.189, 0.966)
F (0.813, 0.695, 0.965)
F (0.336, 0.695, 0.965)
F (0.836, 0.414, 0.465)
F (0.074, 0.937, 0.465)
F (0.575, 0.171, 0.965)
F (0.313, 0.414, 0.465)

- Theoretical density: 6.215 g cm⁻³
- Energy: -3.351 eV/atom
- E_form (uncorrected): -9.87 eV/f.u.
- M_tot: 0.00 μB/f.u.

This record from Alexandria via LeMat-Bulk describes a relaxed structure of RbHgF. The functional is PBE.

Lattice parameters (Å, degrees): 3.889 3.888 6.790 90.00 90.00 90.00
Atoms (fractional coordinates):
F (0.093, 0.766, 0.000)
Rb (0.593, 0.266, 0.000)
Hg (0.084, 0.786, 0.500)

- Theoretical density: 4.934 g cm⁻³
- Excess energy over the best structure of this formula in the dataset: 62 meV/atom
- Energy: -2.707 eV/atom
- E_form (uncorrected): -4.98 eV/f.u.
- M_tot: 0.00 μB/f.u.

This record from Alexandria via LeMat-Bulk describes a relaxed structure of Rb2HgF. The functional is PBE.

Lattice parameters (Å, degrees): 5.881 5.881 5.881 60.00 60.00 60.00
Atoms (fractional coordinates):
Hg (0.500, 0.500, 0.500)
Rb (0.250, 0.250, 0.250)
Rb (0.750, 0.750, 0.750)
F (0.000, 0.000, 0.000)

- Theoretical density: 4.509 g cm⁻³
- Excess energy over the best structure of this formula in the dataset: 335 meV/atom
- Energy: -2.032 eV/atom
- E_form (uncorrected): -4.02 eV/f.u.
- M_tot: 0.84 μB/f.u.

This record from Alexandria via LeMat-Bulk describes a relaxed structure of RbHgF3. The functional is PBE.

Lattice parameters (Å, degrees): 16.471 6.575 6.575 135.26 148.53 31.47
Atoms (fractional coordinates):
Hg (0.922, 0.940, 0.060)
Hg (0.078, 0.060, 0.940)
F (0.364, 0.789, 0.211)
F (0.636, 0.211, 0.789)
F (0.125, 0.506, 0.494)
F (0.798, 0.315, 0.685)
F (0.875, 0.494, 0.506)
F (0.202, 0.685, 0.315)
Rb (0.412, 0.964, 0.036)
Rb (0.588, 0.036, 0.964)

- Theoretical density: 5.882 g cm⁻³
- Energy: -3.342 eV/atom
- E_form (uncorrected): -9.83 eV/f.u.
- M_tot: 0.00 μB/f.u.

This record from Alexandria via LeMat-Bulk describes a relaxed structure of Rb2HgF6. The functional is PBE.

Lattice parameters (Å, degrees): 6.206 7.644 8.136 90.00 90.00 107.25
Atoms (fractional coordinates):
Rb (0.142, 0.320, 0.571)
Rb (0.858, 0.680, 0.429)
Rb (0.642, 0.820, 0.929)
Rb (0.358, 0.180, 0.071)
F (0.368, 0.712, 0.535)
F (0.132, 0.449, 0.230)
F (0.202, 0.020, 0.381)
F (0.632, 0.949, 0.270)
F (0.632, 0.288, 0.465)
F (0.132, 0.788, 0.035)
F (0.868, 0.551, 0.770)
F (0.798, 0.980, 0.619)
F (0.298, 0.480, 0.881)
F (0.702, 0.520, 0.119)
F (0.868, 0.212, 0.965)
F (0.368, 0.051, 0.730)
Hg (0.000, 0.500, 0.000)
Hg (0.500, 0.000, 0.500)

- Theoretical density: 4.375 g cm⁻³
- Energy: -3.304 eV/atom
- E_form (uncorrected): -16.27 eV/f.u.
- M_tot: 2.00 μB/f.u.

This record from Alexandria via LeMat-Bulk describes a relaxed structure of RbHg4F12. The functional is PBE.

Lattice parameters (Å, degrees): 7.632 7.632 7.632 109.47 109.47 109.47
Atoms (fractional coordinates):
F (0.242, 0.002, 0.760)
F (0.760, 0.758, 0.518)
F (0.518, 0.760, 0.758)
F (0.760, 0.242, 0.002)
F (0.240, 0.758, 0.998)
F (0.758, 0.998, 0.240)
F (0.242, 0.482, 0.240)
F (0.240, 0.242, 0.482)
F (0.002, 0.760, 0.242)
F (0.998, 0.240, 0.758)
F (0.482, 0.240, 0.242)
F (0.758, 0.518, 0.760)
Rb (0.000, 0.000, 0.000)
Hg (0.500, 0.000, 0.000)
Hg (0.000, 0.500, 0.000)
Hg (0.000, 0.000, 0.500)
Hg (0.500, 0.500, 0.500)

- Theoretical density: 5.415 g cm⁻³
- Energy: -2.849 eV/atom
- E_form (uncorrected): -23.80 eV/f.u.
- M_tot: 0.00 μB/f.u.